This record from Alexandria via LeMat-Bulk describes a relaxed Er5Rh4Pb crystal. The functional is PBE. Values from VASP.

Geometry as Quantum ESPRESSO input:
```
&SYSTEM
  ibrav = 0, nat = 10, ntyp = 3
/
ATOMIC_SPECIES
Er 167.26 Er.upf
Rh 102.91 Rh.upf
Pb 207.20 Pb.upf
CELL_PARAMETERS angstrom
3.340 0.000 0.000
0.000 3.340 0.000
0.000 0.000 19.006
ATOMIC_POSITIONS angstrom
Er 0.000 0.000 0.000
Er 0.000 0.000 3.514
Er 0.000 0.000 7.005
Er 0.000 0.000 12.001
Er 0.000 0.000 15.491
Rh 1.670 1.670 1.750
Rh 1.670 1.670 5.302
Rh 1.670 1.670 13.704
Rh 1.670 1.670 17.255
Pb 1.670 1.670 9.503
```

Values from the calculation:
* density: 11.4 Mg/m³
* space-group type: P4/mmm (123)
* energy: -64.303 eV for the cell shown